Entry 1:
The following is a DFT calculation (PBE) of a geometry-optimized HfMg2As2 structure.

POSCAR file:
```
HfMg2As2
1.0
7.182 0.000 0.000
0.000 7.182 0.000
0.000 0.000 3.871
Hf Mg As
2 4 4
Direct
0.000 0.000 0.000
0.500 0.500 0.000
0.154 0.346 0.500
0.346 0.846 0.500
0.654 0.154 0.500
0.846 0.654 0.500
0.158 0.658 0.000
0.342 0.158 0.000
0.658 0.842 0.000
0.842 0.342 0.000
```

Properties
Space group = P4/mbm (127)
DOS(E_F) = 4.0 states/eV per cell
Formation enthalpy at 0 K = -0.502 eV/atom
E_tot = -4.99 eV per atom

=====

Entry 2:
The following is a DFT calculation (PBE) of a geometry-optimized Hg2B2H structure.

POSCAR file:
```
Hg2B2H
1.0
6.518 0.000 0.000
0.000 6.518 0.000
0.000 0.000 3.344
Hg B H
4 4 2
Direct
0.242 0.258 0.000
0.258 0.758 0.000
0.742 0.242 0.000
0.758 0.742 0.000
0.086 0.586 0.500
0.414 0.086 0.500
0.586 0.914 0.500
0.914 0.414 0.500
0.000 0.000 0.000
0.500 0.500 0.000
```

Properties
Space group = P4/mbm (127)
DOS(E_F) = 3.4 states/eV per cell
E_tot = -2.38 eV per atom

=====

Entry 3:
The following is a DFT calculation (PBE) of a geometry-optimized BaGa3Ag structure.

POSCAR file:
```
BaGa3Ag
1.0
5.140 0.000 0.000
0.000 5.140 0.000
0.000 0.000 5.140
Ba Ga Ag
1 3 1
Direct
0.000 0.000 0.000
0.000 0.500 0.500
0.500 0.000 0.500
0.500 0.500 0.000
0.500 0.500 0.500
```

Properties
Space group = Pm-3m (221)
DOS(E_F) = 4.0 states/eV per cell
Formation enthalpy at 0 K = -0.030 eV/atom
E_tot = -2.80 eV per atom

=====

Entry 4:
The following is a DFT calculation (PBE) of a geometry-optimized Ba3CeGa2O8 structure.

POSCAR file:
```
Ba3CeGa2O8
1.0
6.034 0.000 0.000
-3.017 5.226 0.000
0.000 0.000 7.652
Ba Ce Ga O
3 1 2 8
Direct
0.000 0.000 0.000
0.333 0.667 0.664
0.667 0.333 0.336
0.000 0.000 0.500
0.333 0.667 0.212
0.667 0.333 0.788
0.170 0.340 0.322
0.170 0.830 0.322
0.333 0.667 0.979
0.340 0.170 0.678
0.660 0.830 0.322
0.667 0.333 0.021
0.830 0.170 0.678
0.830 0.660 0.678
```

Properties
Space group = P-3m1 (164)
DOS(E_F) = 0.0 states/eV per cell
E_tot = -6.67 eV per atom

=====

Entry 5:
The following is a DFT calculation (PBE) of a geometry-optimized RbPO3 structure.

POSCAR file:
```
RbPO3
1.0
3.696 0.000 0.000
0.000 3.696 0.000
0.000 0.000 3.696
Rb P O
1 1 3
Direct
0.000 0.000 0.000
0.500 0.500 0.500
0.000 0.500 0.500
0.500 0.000 0.500
0.500 0.500 0.000
```

Properties
Space group = Pm-3m (221)
DOS(E_F) = 1.4 states/eV per cell
E_tot = -5.23 eV per atom

=====

Entry 6:
The following is a DFT calculation (PBE) of a geometry-optimized ZnSeOF2 structure.

POSCAR file:
```
ZnSeOF2
1.0
4.535 0.000 0.000
0.000 4.535 0.000
0.000 0.000 3.763
Zn Se O F
1 1 1 2
Direct
0.000 0.000 0.000
0.500 0.500 0.500
0.500 0.500 0.000
0.000 0.500 0.500
0.500 0.000 0.500
```

Properties
Space group = P4/mmm (123)
DOS(E_F) = 2.3 states/eV per cell
E_tot = -3.29 eV per atom

=====

Entry 7:
The following is a DFT calculation (PBE) of a geometry-optimized YZrIr structure.

POSCAR file:
```
YZrIr
1.0
-1.720 1.720 5.613
1.720 -1.720 5.613
1.720 1.720 -5.613
Y Zr Ir
1 1 1
Direct
0.000 0.000 0.000
0.289 0.289 0.000
0.668 0.668 0.000
```

Properties
Space group = I4mm (107)
DOS(E_F) = 4.1 states/eV per cell
Formation enthalpy at 0 K = -0.465 eV/atom
E_tot = -8.42 eV per atom

=====

Entry 8:
The following is a DFT calculation (PBE) of a geometry-optimized K3Rb8Hg2 structure.

POSCAR file:
```
K3Rb8Hg2
1.0
11.342 0.000 0.000
0.000 6.243 0.000
-3.042 0.000 13.073
K Rb Hg
3 8 2
Direct
0.000 0.000 0.000
0.288 0.500 0.925
0.712 0.500 0.075
0.099 0.000 0.657
0.151 0.500 0.247
0.352 0.500 0.572
0.439 0.000 0.195
0.561 0.000 0.805
0.648 0.500 0.428
0.849 0.500 0.753
0.901 0.000 0.343
0.251 0.000 0.408
0.749 0.000 0.592
```

Properties
Space group = P2/m (10)
DOS(E_F) = 10.0 states/eV per cell
Formation enthalpy at 0 K = -0.042 eV/atom
E_tot = -0.94 eV per atom

=====

Entry 9:
The following is a DFT calculation (PBE) of a geometry-optimized Y2CuBr structure.

POSCAR file:
```
Y2CuBr
1.0
0.000 3.680 3.680
3.680 0.000 3.680
3.680 3.680 0.000
Y Cu Br
2 1 1
Direct
0.000 0.000 0.000
0.250 0.250 0.250
0.750 0.750 0.750
0.500 0.500 0.500
```

Properties
Space group = F-43m (216)
DOS(E_F) = 4.8 states/eV per cell
E_tot = -4.34 eV per atom

=====

Entry 10:
The following is a DFT calculation (PBE) of a geometry-optimized LaCdAsBr2 structure.

POSCAR file:
```
LaCdAsBr2
1.0
5.836 0.000 0.000
0.000 5.836 0.000
0.000 0.000 6.104
La Cd As Br
1 1 1 2
Direct
0.000 0.000 0.000
0.500 0.500 0.500
0.000 0.000 0.500
0.000 0.500 0.000
0.500 0.000 0.000
```

Properties
Space group = P4/mmm (123)
DOS(E_F) = 3.6 states/eV per cell
E_tot = -3.44 eV per atom

=====

Entry 11:
The following is a DFT calculation (PBE) of a geometry-optimized BaAl3As structure.

POSCAR file:
```
BaAl3As
1.0
5.196 0.000 0.000
0.000 5.196 0.000
0.000 0.000 5.196
Ba Al As
1 3 1
Direct
0.000 0.000 0.000
0.000 0.500 0.500
0.500 0.000 0.500
0.500 0.500 0.000
0.500 0.500 0.500
```

Properties
Space group = Pm-3m (221)
DOS(E_F) = 3.5 states/eV per cell
Formation enthalpy at 0 K = 0.229 eV/atom
E_tot = -3.33 eV per atom

=====

Entry 12:
The following is a DFT calculation (PBE) of a geometry-optimized SrNbNO2 structure.

POSCAR file:
```
SrNbNO2
1.0
4.085 0.000 0.000
0.000 4.085 0.000
0.000 0.000 4.112
Sr Nb N O
1 1 1 2
Direct
0.000 0.000 0.000
0.500 0.500 0.500
0.500 0.500 0.000
0.000 0.500 0.500
0.500 0.000 0.500
```

Properties
Space group = P4/mmm (123)
DOS(E_F) = 0.5 states/eV per cell
E_tot = -8.13 eV per atom

=====

Question: Which formula does entry 4 have?
Answer: Ba3CeGa2O8

=====

Question: Which of these has the highest DOS(E_F)?
Answer: K3Rb8Hg2

=====

Question: Look up the DOS(E_F) of the first one.
Answer: 4.0 states/eV per cell

=====

Question: E_tot of number 4 (Ba3CeGa2O8)?
Answer: -6.67 eV per atom